Computed, not measured: a relaxed structure of CeSi2Tc2 at the GGA-PBE level of DFT.

Lattice parameters (Å, degrees): 4.091 4.166 20.623 90.00 90.00 90.00
Space group Imma (No. 74)
Symmetry-distinct sites (fractional):
Ce 0.000 0.250 0.163 [4 per cell]
Si 0.000 0.250 0.606 [4 per cell]
Si 0.000 0.250 0.722 [4 per cell]
Tc 0.000 0.250 0.458 [4 per cell]
Tc 0.000 0.250 0.963 [4 per cell]

Calculated values
**Energy above the most stable polymorph in this dataset**: 0.04 eV/f.u.
**ΔE_f (raw)**: -0.6008 eV/atom
**DFT total energy**: -0.5956 Ry per atom

Computed, not measured: a relaxed structure of Al2CoTe at the GGA-PBE level of DFT.

Lattice parameters (Å, degrees): 3.562 4.642 8.228 90.00 90.00 90.00
Space group Immm (No. 71)
Symmetry-distinct sites (fractional):
Al 0.000 0.000 0.222 [4 per cell]
Co 0.000 0.500 0.500 [2 per cell]
Te 0.000 0.500 0.000 [2 per cell]

Calculated values
**ΔE_f (raw)**: 0.2290 eV/atom
**DFT total energy**: -0.3090 Ry per atom

Computed, not measured: a relaxed structure of ZnFeTe2 at the GGA-PBE level of DFT.

Lattice parameters (Å, degrees): 4.0606 4.0606 19.6390 90.00 90.00 120.00
Space group R3m (No. 160, hexagonal axes)
Symmetry-distinct sites (fractional):
Zn 0.0000 0.0000 0.0000 [3 per cell]
Fe 0.0000 0.0000 0.2756 [3 per cell]
Te 0.0000 0.0000 0.5431 [3 per cell]
Te 0.0000 0.0000 0.7339 [3 per cell]

Calculated values
**ΔE_f (raw)**: 0.1394 eV/atom
**DFT total energy**: -0.2841 Ry per atom

Computed, not measured: a relaxed structure of TiV3Co at the GGA-PBE level of DFT.

Lattice parameters (Å, degrees): 4.321 4.321 4.321 90.00 90.00 90.00
Space group Pm-3m (No. 221)
Symmetry-distinct sites (fractional):
Ti 0.000 0.000 0.000 [1 per cell]
V 0.000 0.500 0.500 [3 per cell]
Co 0.500 0.500 0.500 [1 per cell]

Calculated values
**Energy above the most stable polymorph in this dataset**: 3.60 eV/f.u.
**E_form**: 0.67 eV per atom
**DFT total energy**: -0.5732 Ry per atom

Computed, not measured: a relaxed structure of Nd6NO at the GGA-PBE level of DFT.

Lattice parameters (Å, degrees): 6.4460 6.4460 11.7505 90.00 90.00 120.00
Space group P-31c (No. 163)
Symmetry-distinct sites (fractional):
Nd 0.0201 0.3299 0.1242 [12 per cell]
N 0.0000 0.0000 0.0000 [2 per cell]
O 0.3333 0.6667 0.2500 [2 per cell]

Calculated values
**ΔE_f (raw)**: -0.9542 eV/atom
**DFT total energy**: -0.4550 Ry per atom

Computed, not measured: a relaxed structure of Mg3P at the GGA-PBE level of DFT.

Lattice parameters (Å, degrees): 4.635 4.688 7.587 90.00 90.00 90.00
Space group Cmmm (No. 65)
Symmetry-distinct sites (fractional):
Mg 0.000 0.000 0.000 [2 per cell]
Mg 0.000 0.500 0.301 [4 per cell]
P 0.000 0.000 0.500 [2 per cell]

Calculated values
**E_form**: -0.08 eV per atom
**DFT total energy**: -0.1929 Ry per atom